Entry from the Alexandria database: a relaxed structure of PmNd2Dy6Er3 (PBE).

For the density of states at the Fermi level, the calculation gives 15.962 states/eV/cell. The crystal system is monoclinic. The energy relative to the elements comes out at 0.2 eV per formula unit. As for the magnetization: 0.00 μB/f.u.

a = 6.1763 Å, b = 6.1763 Å, c = 11.8025 Å
α = 94.99°, β = 94.99°, γ = 119.97°
Positions (direct):
Pm: 0.0000 0.0000 0.0000
Nd: 0.3333 0.6667 0.0000
Nd: 0.6667 0.3333 0.0000
Dy: 0.0855 0.4187 0.2545
Dy: 0.2477 0.2477 0.7455
Dy: 0.4187 0.0855 0.2545
Dy: 0.5813 0.9145 0.7455
Dy: 0.7523 0.7523 0.2545
Dy: 0.9145 0.5813 0.7455
Er: 0.1667 0.8333 0.5000
Er: 0.5000 0.5000 0.5000
Er: 0.8333 0.1667 0.5000

=====

Entry from the Alexandria database: a relaxed structure of LiAc3Nd4Te8 (PBE).

For the density of states at the Fermi level, the calculation gives 9.399 states/eV/cell. The crystal system is trigonal. As for the magnetization: 0.00 μB/f.u. For the formation energy from raw total energies, the calculation gives -1417 meV/atom.

a = 9.2031 Å, b = 9.2031 Å, c = 9.2031 Å
α = 59.49°, β = 59.49°, γ = 59.49°
Positions (direct):
Li: 0.0000 0.0000 0.0000
Ac: 0.0000 0.5000 0.5000
Ac: 0.5000 0.0000 0.5000
Ac: 0.5000 0.5000 0.0000
Nd: 0.0000 0.0000 0.5000
Nd: 0.0000 0.5000 0.0000
Nd: 0.5000 0.0000 0.0000
Nd: 0.5000 0.5000 0.5000
Te: 0.2357 0.7548 0.7548
Te: 0.2452 0.2452 0.2452
Te: 0.2452 0.2452 0.7643
Te: 0.2452 0.7643 0.2452
Te: 0.7548 0.2357 0.7548
Te: 0.7548 0.7548 0.2357
Te: 0.7548 0.7548 0.7548
Te: 0.7643 0.2452 0.2452

=====

Entry from the Alexandria database: a relaxed structure of GaWSe2Br (PBE).

For the offset from the most stable computed form, the calculation gives 0.0 meV/atom. For the density of states at the Fermi level, the calculation gives 3.463 states/eV/cell. The crystal system is tetragonal. As for the magnetization: 0.75 μB/f.u. For the formation energy from raw total energies, the calculation gives 111 meV/atom.

a = 4.9143 Å, b = 4.9143 Å, c = 5.4477 Å
α = 90.00°, β = 90.00°, γ = 90.00°
Positions (direct):
Ga: 0.0000 0.0000 0.0000
W: 0.5000 0.5000 0.5000
Se: 0.0000 0.5000 0.5000
Se: 0.5000 0.0000 0.5000
Br: 0.5000 0.5000 0.0000

=====

Entry from the Alexandria database: a relaxed structure of Ca2PrPaSb4 (PBE).

The crystal system is monoclinic. As for the magnetization: 0.10 μB/f.u. For the formation energy from raw total energies, the calculation gives -905 meV/atom.

a = 7.7554 Å, b = 4.5269 Å, c = 7.8079 Å
α = 90.00°, β = 109.46°, γ = 90.00°
Positions (direct):
Ca: 0.0000 0.0000 0.0000
Ca: 0.0000 0.5000 0.5000
Pr: 0.5000 0.0000 0.5000
Pa: 0.5000 0.5000 0.0000
Sb: 0.2584 0.5000 0.2394
Sb: 0.2640 0.0000 0.7657
Sb: 0.7360 0.0000 0.2343
Sb: 0.7416 0.5000 0.7606

=====

no.,calculated total energy (eV/atom)
1,-4.61
2,-5.07
3,-4.81
4,-5.25